Arrangement i

# Ba2CoOs

A relaxed Ba2CoOs crystal (PBE-GGA, Alexandria via LeMat-Bulk).

abc: 4.201 4.907 6.355
angles: 67.27 90.00 90.00
Element x y z (fractional)
Ba1 0.000 0.983 0.909
Os1 0.500 0.587 0.701
Co1 0.000 0.663 0.550
Ba2 0.500 0.267 0.340

Values from the calculation:
V   30.21 A^3/atom
Density of states at the Fermi level   4.944 states/eV/f.u.
Space-group type   Amm2


Arrangement ii

# Ba2CoOs

A relaxed Ba2CoOs crystal (PBE-GGA, Alexandria via LeMat-Bulk).

abc: 5.396 5.396 5.396
angles: 60.00 60.00 60.00
Element x y z (fractional)
Ba1 0.750 0.750 0.750
Os1 0.500 0.500 0.500
Co1 0.000 0.000 0.000
Ba2 0.250 0.250 0.250

Values from the calculation:
V   27.77 A^3/atom
Density of states at the Fermi level   6.570 states/eV/f.u.
Space-group type   Fm-3m


Arrangement iii

# Ba2CoOs

A relaxed Ba2CoOs crystal (PBE-GGA, Alexandria via LeMat-Bulk).

abc: 3.499 3.499 9.525
angles: 90.00 90.00 90.03
Element x y z (fractional)
Ba1 0.500 0.500 0.342
Ba2 0.000 0.000 0.907
Os1 0.500 0.500 0.651
Co1 0.000 0.000 0.599

Values from the calculation:
V   29.16 A^3/atom
Density of states at the Fermi level   5.149 states/eV/f.u.
Space-group type   P4mm


Arrangement iv

# Ba2CoOs

A relaxed Ba2CoOs crystal (PBE-GGA, Alexandria via LeMat-Bulk).

abc: 4.660 4.660 8.223
angles: 85.09 85.09 40.57
Element x y z (fractional)
Co1 0.250 0.250 0.250
Os1 0.750 0.750 0.750
Ba1 0.004 0.004 0.991
Ba2 0.496 0.496 0.509

Values from the calculation:
V   28.92 A^3/atom
Density of states at the Fermi level   7.571 states/eV/f.u.
Space-group type   C2/m


Decreasing stability: arrangement i, arrangement iii, arrangement ii, arrangement iv


Arrangement i

# BaCoOs

A relaxed BaCoOs crystal (PBE-GGA, Alexandria via LeMat-Bulk).

abc: 6.271 6.270 3.321
angles: 74.65 74.63 30.72
Element x y z (fractional)
Os1 0.718 0.718 0.282
Co1 0.281 0.281 0.719
Ba1 0.001 0.001 0.999

Values from the calculation:
V   21.38 A^3/atom
Density of states at the Fermi level   3.619 states/eV/f.u.
Space-group type   I4mm


Arrangement ii

# BaCoOs

A relaxed BaCoOs crystal (PBE-GGA, Alexandria via LeMat-Bulk).

abc: 4.631 4.631 4.631
angles: 60.00 60.00 60.00
Element x y z (fractional)
Co1 0.750 0.750 0.750
Os1 0.000 0.000 0.000
Ba1 0.500 0.500 0.500

Values from the calculation:
V   23.41 A^3/atom
Density of states at the Fermi level   2.846 states/eV/f.u.
Space-group type   F-43m


Arrangement iii

# BaCoOs

A relaxed BaCoOs crystal (PBE-GGA, Alexandria via LeMat-Bulk).

abc: 4.006 4.006 5.153
angles: 90.00 90.00 120.00
Element x y z (fractional)
Ba1 0.000 0.000 0.000
Os1 0.333 0.667 0.500
Co1 0.667 0.333 0.500

Values from the calculation:
V   23.88 A^3/atom
Density of states at the Fermi level   2.682 states/eV/f.u.
Space-group type   P-6m2


Decreasing stability: arrangement iii, arrangement i, arrangement ii